A geometry-optimized PmTc2Ge2 structure, computed with PBE-GGA.

Values from the calculation:
* space group: No. 139
* density of states at the Fermi level: 1.3306 states/eV per atom
* formation enthalpy at 0 K: -411 meV/atom
* ρ: 8.595 Mg/m³

a = 4.196 Å, b = 4.196 Å, c = 6.106 Å
α = 110.09°, β = 110.09°, γ = 90.00°
Sites, in units of the cell vectors:
Tc (0.250, 0.750, 0.500)
Tc (0.750, 0.250, 0.500)
Ge (0.623, 0.623, 0.245)
Ge (0.377, 0.377, 0.755)
Pm (0.000, 0.000, 0.000)

***

A geometry-optimized HfTa3Cl structure, computed with PBE-GGA.

Values from the calculation:
* space group: No. 221
* density of states at the Fermi level: 1.5509 states/eV per atom
* ρ: 9.937 Mg/m³
* E: -36.8 eV/cell

a = 5.019 Å, b = 5.019 Å, c = 5.019 Å
α = 90.00°, β = 90.00°, γ = 90.00°
Sites, in units of the cell vectors:
Ta (0.000, 0.000, 0.500)
Ta (0.500, 0.000, 0.000)
Ta (0.000, 0.500, 0.000)
Cl (0.500, 0.500, 0.500)
Hf (0.000, 0.000, 0.000)

***

A geometry-optimized Sc2Ga2Bi structure, computed with PBE-GGA.

Values from the calculation:
* space group: No. 139
* density of states at the Fermi level: 1.1740 states/eV per atom
* formation enthalpy at 0 K: -139 meV/atom
* ρ: 6.122 Mg/m³

a = 4.605 Å, b = 4.605 Å, c = 6.483 Å
α = 69.19°, β = 69.19°, γ = 90.00°
Sites, in units of the cell vectors:
Ga (0.392, 0.392, 0.215)
Ga (0.608, 0.608, 0.785)
Sc (0.750, 0.250, 0.500)
Sc (0.250, 0.750, 0.500)
Bi (0.000, 0.000, 0.000)

***

A geometry-optimized Tm2NiP3Rh4 structure, computed with PBE-GGA.

Values from the calculation:
* space group: No. 115
* density of states at the Fermi level: 0.6389 states/eV per atom
* formation enthalpy at 0 K: -966 meV/atom
* ρ: 9.449 Mg/m³

a = 4.018 Å, b = 4.018 Å, c = 9.812 Å
α = 90.00°, β = 90.00°, γ = 90.00°
Sites, in units of the cell vectors:
P (0.000, 0.000, 0.500)
P (0.500, 0.000, 0.863)
P (0.000, 0.500, 0.137)
Tm (0.000, 0.500, 0.739)
Tm (0.500, 0.000, 0.261)
Rh (0.000, 0.000, 0.000)
Rh (0.000, 0.500, 0.365)
Rh (0.500, 0.500, 0.000)
Rh (0.500, 0.000, 0.635)
Ni (0.500, 0.500, 0.500)

***

A geometry-optimized Ag2SCl structure, computed with PBE-GGA.

Values from the calculation:
* space group: No. 122
* density of states at the Fermi level: 1.0905 states/eV per atom
* ρ: 4.616 Mg/m³
* E: -24.3 eV/cell

a = 5.916 Å, b = 5.916 Å, c = 7.170 Å
α = 65.63°, β = 65.63°, γ = 90.00°
Sites, in units of the cell vectors:
Ag (0.588, 0.125, 0.250)
Ag (0.875, 0.838, 0.750)
Ag (0.375, 0.412, 0.750)
Ag (0.162, 0.625, 0.250)
Cl (0.750, 0.250, 0.500)
Cl (0.000, 0.000, 0.000)
S (0.250, 0.750, 0.500)
S (0.500, 0.500, 0.000)

***

A geometry-optimized Tm2Si5Pt3 structure, computed with PBE-GGA.

Values from the calculation:
* space group: No. 36
* density of states at the Fermi level: 0.1660 states/eV per atom
* ρ: 10.548 Mg/m³
* E: -125.5 eV/cell

a = 4.247 Å, b = 6.692 Å, c = 11.972 Å
α = 90.00°, β = 100.22°, γ = 90.00°
Sites, in units of the cell vectors:
Tm (0.825, 0.244, 0.650)
Tm (0.519, 0.244, 0.039)
Tm (0.481, 0.744, 0.961)
Tm (0.175, 0.744, 0.350)
Si (0.290, 0.517, 0.580)
Si (0.710, 0.017, 0.420)
Si (0.883, 0.773, 0.765)
Si (0.706, 0.427, 0.412)
Si (0.049, 0.577, 0.098)
Si (0.603, 0.894, 0.206)
Si (0.397, 0.394, 0.794)
Si (0.294, 0.927, 0.588)
Si (0.951, 0.077, 0.902)
Si (0.117, 0.273, 0.235)
Pt (0.222, 0.211, 0.444)
Pt (0.393, 0.017, 0.786)
Pt (0.943, 0.461, 0.887)
Pt (0.778, 0.711, 0.556)
Pt (0.057, 0.961, 0.113)
Pt (0.607, 0.517, 0.214)

***

A geometry-optimized TaInPb2 structure, computed with PBE-GGA.

Values from the calculation:
* space group: No. 139
* density of states at the Fermi level: 0.4820 states/eV per atom
* formation enthalpy at 0 K: 602 meV/atom
* ρ: 11.918 Mg/m³

a = 5.908 Å, b = 5.908 Å, c = 5.908 Å
α = 135.78°, β = 135.78°, γ = 64.33°
Sites, in units of the cell vectors:
Ta (0.250, 0.750, 0.500)
In (0.750, 0.250, 0.500)
Pb (0.000, 0.000, 0.000)
Pb (0.500, 0.500, 0.000)

***

A geometry-optimized LaTeAs2 structure, computed with PBE-GGA.

Values from the calculation:
* space group: No. 10
* density of states at the Fermi level: 0.4792 states/eV per atom
* ρ: 6.241 Mg/m³
* E: -20.2 eV/cell

a = 4.067 Å, b = 4.386 Å, c = 6.579 Å
α = 70.73°, β = 90.00°, γ = 90.00°
Sites, in units of the cell vectors:
As (0.000, 0.627, 0.451)
As (0.000, 0.873, 0.049)
La (0.500, 0.250, 0.250)
Te (0.500, 0.750, 0.750)

***

no.,V (Å³ per atom)
1,18.79
2,25.29
3,23.78
4,15.84
5,25.48
6,16.74
7,24.74
8,27.69